First-principles (PBE) data for an optimized crystal structure of K2BaNpTe4, as listed in the Alexandria database.

Unit cell a=4.749 b=8.619 c=8.398 alpha=71.65 beta=90.00 gamma=90.00
Each line ends with the local moment (μB).
Positions (direct):
K 0.000 0.000 0.000  0.00
K 0.500 0.000 0.500  0.00
Ba 0.500 0.500 0.000  -0.01
Np 0.000 0.500 0.500  3.57
Te 0.000 0.720 0.723  -0.08
Te 0.000 0.280 0.277  -0.08
Te 0.500 0.708 0.292  -0.09
Te 0.500 0.292 0.708  -0.09

Results
Formation energy without anion corrections: -106 kJ per mole of atoms
DFT total energy: -4.801 eV per atom

=====

First-principles (PBE) data for an optimized crystal structure of K3BaNp2Te6, as listed in the Alexandria database.

Unit cell a=4.673 b=9.934 c=10.877 alpha=106.15 beta=102.40 gamma=90.00
Each line ends with the local moment (μB).
Positions (direct):
K 0.500 0.500 0.000  0.00
K 0.840 0.169 0.680  0.00
K 0.160 0.831 0.320  0.00
Ba 0.500 0.000 0.000  -0.01
Np 0.831 0.663 0.662  3.79
Np 0.169 0.337 0.338  3.79
Te 0.329 0.874 0.658  -0.08
Te 0.678 0.554 0.355  -0.11
Te 0.671 0.126 0.342  -0.08
Te 0.019 0.261 0.038  -0.06
Te 0.981 0.739 0.962  -0.06
Te 0.322 0.446 0.645  -0.11

Results
Formation energy without anion corrections: -101 kJ per mole of atoms
DFT total energy: -5.207 eV per atom

=====

First-principles (PBE) data for an optimized crystal structure of KBaO, as listed in the Alexandria database.

Unit cell a=4.454 b=5.582 c=9.507 alpha=90.00 beta=89.60 gamma=90.00
Positions (direct):
Ba 0.252 0.250 0.427
Ba 0.748 0.750 0.573
O 0.750 0.250 0.564
O 0.250 0.750 0.436
K 0.753 0.250 0.855
K 0.247 0.750 0.145

Results
ΔE to the lowest computed polymorph: 0 meV/atom
Formation energy without anion corrections: -147 kJ per mole of atoms
DFT total energy: -4.183 eV per atom

=====

First-principles (PBE) data for an optimized crystal structure of K3Ba2O8, as listed in the Alexandria database.

Unit cell a=7.131 b=7.134 c=7.134 alpha=80.79 beta=119.40 gamma=119.40
Each line ends with the local moment (μB).
Positions (direct):
K 0.500 0.000 0.000  0.00
K 0.000 0.714 0.286  0.00
K 0.000 0.286 0.714  0.00
Ba 0.569 0.688 0.688  -0.01
Ba 0.431 0.312 0.312  -0.01
O 0.138 0.388 0.388  0.17
O 0.862 0.612 0.612  0.17
O 0.008 0.783 0.783  0.20
O 0.992 0.217 0.217  0.20
O 0.496 0.401 0.970  0.04
O 0.496 0.970 0.401  0.04
O 0.504 0.030 0.599  0.04
O 0.504 0.599 0.030  0.04

Results
Formation energy without anion corrections: -123 kJ per mole of atoms
DFT total energy: -4.872 eV per atom